GGA-PBE PmY2Os, relaxed; total moment = 0.00 μB/f.u.; distance to the lowest polymorph of the same formula = 38 kJ/mol of formula units; V = 27.4 Å³/atom; space-group type = P4/mmm (123)
1.0
3.4299 0.0000 0.0000
0.0000 3.4299 0.0000
0.0000 0.0000 9.2997
Pm Y Os
1 2 1
Cartesian
1.7149 1.7149 4.6498
0.0000 0.0000 1.6572
0.0000 0.0000 7.6425
1.7149 1.7149 0.0000